# Tm2Tl2TcO6 (PBE, relaxed)
# Formation energy without anion corrections ... -23.16 eV per formula unit
data_Tm2Tl2TcO6
_chemical_formula_sum 'Tm4 Tl4 Tc2 O12'
_space_group_name_H-M_alt 'C 1 2/m 1'
_space_group_IT_number 12
_space_group_name_Hall '-C 2y'
_cell_length_a 5.7453
_cell_length_b 9.9259
_cell_length_c 6.8015
_cell_angle_alpha 90.00
_cell_angle_beta 104.94
_cell_angle_gamma 90.00
loop_
_atom_site_label
_atom_site_fract_x
_atom_site_fract_y
_atom_site_fract_z
Tm1 0.0000 0.1656 0.0000
Tl1 0.0000 0.3359 0.5000
Tc1 0.0000 0.5000 0.0000
O1 0.2041 0.3428 0.1610
O2 0.2426 0.0000 0.1662

=====

# LaGd2Au (PBE, relaxed)
# Energy above the lowest structure with this stoichiometry ... 75 kJ/mol of formula units
# E_form ... -207.5 meV per atom
data_LaGd2Au
_chemical_formula_sum 'La4 Gd8 Au4'
_space_group_name_H-M_alt 'F m -3 m'
_space_group_IT_number 225
_space_group_name_Hall '-F 4 2 3'
_cell_length_a 7.5535
_cell_length_b 7.5535
_cell_length_c 7.5535
_cell_angle_alpha 90.00
_cell_angle_beta 90.00
_cell_angle_gamma 90.00
loop_
_atom_site_label
_atom_site_fract_x
_atom_site_fract_y
_atom_site_fract_z
La1 0.0000 0.0000 0.0000
Gd1 0.2500 0.2500 0.2500
Au1 0.0000 0.0000 0.5000

=====

BaHPdF6: relaxed, PBE.

Structure (CIF):
```
data_BaHPdF6
_chemical_formula_sum 'Ba1 H1 Pd1 F6'
_space_group_name_H-M_alt 'P 1'
_space_group_IT_number 1
_space_group_name_Hall 'P 1'
_cell_length_a 4.9111
_cell_length_b 5.0834
_cell_length_c 5.2683
_cell_angle_alpha 104.13
_cell_angle_beta 93.10
_cell_angle_gamma 97.52
loop_
_atom_site_label
_atom_site_fract_x
_atom_site_fract_y
_atom_site_fract_z
Ba1 0.0000 0.0000 0.0000
H1 0.4993 0.5006 0.9980
Pd1 0.4997 0.5014 0.4983
F1 0.1499 0.2831 0.5454
F2 0.3059 0.5389 0.1094
F3 0.4360 0.8497 0.7407
F4 0.5632 0.1528 0.2562
F5 0.6926 0.4628 0.8871
F6 0.8495 0.7199 0.4511
```

=====

# DyHoTl (PBE, relaxed)
# Energy above the lowest structure with this stoichiometry ... 8 kJ/mol of formula units
# E_form ... -229.4 meV per atom
data_DyHoTl
_chemical_formula_sum 'Dy2 Ho2 Tl2'
_space_group_name_H-M_alt 'I 4 m m'
_space_group_IT_number 107
_space_group_name_Hall 'I 4 -2'
_cell_length_a 3.5652
_cell_length_b 3.5652
_cell_length_c 13.6955
_cell_angle_alpha 90.00
_cell_angle_beta 90.00
_cell_angle_gamma 90.00
loop_
_atom_site_label
_atom_site_fract_x
_atom_site_fract_y
_atom_site_fract_z
Dy1 0.0000 0.0000 0.0000
Ho1 0.0000 0.0000 0.3162
Tl1 0.0000 0.0000 0.6587

=====

| no. | raw total energy (eV per cell) |
| --- | --- |
| 1 | -153.9 |
| 2 | -148.8 |
| 3 | -41.6 |
| 4 | -24.5 |